# 1
A plane-wave DFT calculation with PBE was carried out for a relaxed structure of Cs2Hg2Te2Se.

Cell lengths 4.7973, 8.4850, 9.3906 Å; angles 54.37, 90.00, 73.58 degrees
Sites, in units of the cell vectors:
Cs1 0.5556 0.8891 0.7955
Te1 0.1849 0.6306 0.6212
Se1 0.0000 0.0000 0.0000
Hg1 0.1954 0.6089 0.3021
Hg2 0.8046 0.3911 0.6979
Cs2 0.4444 0.1109 0.2045
Te2 0.8151 0.3694 0.3788

Properties
Formation energy without anion corrections, meV per atom: -628.2
Space group: C2/m (12)

=====

# 2
A plane-wave DFT calculation with PBE was carried out for a relaxed structure of Cs2ThHgSe4.

Cell lengths 7.6478, 7.6478, 7.6478 Å; angles 98.79, 115.06, 115.06 degrees
Sites, in units of the cell vectors:
Se1 0.9090 0.5523 0.1330
Cs1 0.5000 0.7500 0.2500
Se2 0.5806 0.3567 0.4477
Se3 0.0910 0.2239 0.6433
Hg1 0.0000 0.5000 0.5000
Se4 0.4194 0.8670 0.7761
Cs2 0.0000 0.0000 0.0000
Th1 0.5000 0.2500 0.7500

Properties
Formation energy without anion corrections, meV per atom: -1072.6
Space group: I-4 (82)

=====

# 3
A plane-wave DFT calculation with PBE was carried out for a relaxed structure of CsTiHg2Se.

Cell lengths 5.5990, 5.5990, 4.9905 Å; angles 90.00, 90.00, 90.00 degrees
Sites, in units of the cell vectors:
Hg1 0.0000 0.5000 0.0000
Hg2 0.5000 0.0000 0.0000
Ti1 0.0000 0.0000 0.0000
Se1 0.0000 0.0000 0.5000
Cs1 0.5000 0.5000 0.5000

Properties
Formation energy without anion corrections, meV per atom: -391.4
Space group: P4/mmm (123)

=====

# 4
A plane-wave DFT calculation with PBE was carried out for a relaxed structure of CsTiHgSe2.

Cell lengths 5.1106, 5.1106, 5.5785 Å; angles 90.00, 90.00, 90.00 degrees
Sites, in units of the cell vectors:
Se1 0.0000 0.5000 0.0000
Cs1 0.5000 0.5000 0.5000
Se2 0.5000 0.0000 0.0000
Hg1 0.0000 0.0000 0.5000
Ti1 0.0000 0.0000 0.0000

Properties
Formation energy without anion corrections, meV per atom: -757.9
Space group: P4/mmm (123)

=====

# 5
A plane-wave DFT calculation with PBE was carried out for a relaxed structure of Cs2TlHg2Se4.

Cell lengths 4.4274, 8.2697, 9.3049 Å; angles 108.75, 103.76, 90.00 degrees
Sites, in units of the cell vectors:
Hg1 0.3353 0.0175 0.6706
Cs1 0.1303 0.5427 0.2606
Hg2 0.6647 0.9825 0.3294
Se1 0.4791 0.2446 0.9582
Cs2 0.8697 0.4573 0.7394
Tl1 0.0000 0.0000 0.0000
Se2 0.2135 0.1807 0.4271
Se3 0.5209 0.7554 0.0418
Se4 0.7865 0.8193 0.5729

Properties
Formation energy without anion corrections, meV per atom: -573.6
Space group: C2/m (12)

=====

# 6
A plane-wave DFT calculation with PBE was carried out for a relaxed structure of CsTlHg2Se4.

Cell lengths 7.0272, 7.3873, 7.3873 Å; angles 81.57, 61.60, 61.60 degrees
Sites, in units of the cell vectors:
Se1 0.6030 0.5088 0.8453
Se2 0.0430 0.8453 0.5088
Se3 0.9570 0.4912 0.1547
Hg1 0.5000 0.3254 0.6746
Hg2 0.5000 0.6746 0.3254
Tl1 0.0000 0.5000 0.5000
Cs1 0.0000 0.0000 0.0000
Se4 0.3970 0.1547 0.4912

Properties
Formation energy without anion corrections, meV per atom: -450.5
Space group: I222 (23)